Record 1
Here is crystalline AlSnC3 at its relaxed geometry from Alexandria. Energies are from PBE-GGA.

Properties
Calculated volume: 78.36 Å³ per cell
Calculated total energy: -0.153 Ha/atom
Space-group type: Pm-3m

a = 4.279 Å, b = 4.279 Å, c = 4.279 Å
α = 90.00°, β = 90.00°, γ = 90.00°
Fractional coordinates of all 5 atoms:
C1 0.000 0.000 0.500
C2 0.500 0.000 0.000
C3 0.000 0.500 0.000
Sn1 0.000 0.000 0.000
Al1 0.500 0.500 0.500

Record 2
Here is crystalline Nd6In3Co at its relaxed geometry from Alexandria. Energies are from PBE-GGA.

Properties
Calculated volume: 586.02 Å³ per cell
Calculated total energy: -0.170 Ha/atom
Space-group type: P2_1/c

a = 5.483 Å, b = 9.351 Å, c = 11.431 Å
α = 90.00°, β = 90.04°, γ = 90.00°
Fractional coordinates of all 20 atoms:
In1 0.500 0.500 0.000
In2 0.496 0.155 0.257
In3 0.996 0.345 0.757
In4 0.000 0.000 0.500
In5 0.004 0.655 0.243
In6 0.504 0.845 0.743
Nd1 0.496 0.510 0.730
Nd2 0.505 0.155 0.929
Nd3 0.995 0.655 0.571
Nd4 0.005 0.345 0.429
Nd5 0.504 0.490 0.270
Nd6 0.495 0.845 0.071
Nd7 0.996 0.990 0.230
Nd8 0.003 0.311 0.066
Nd9 0.503 0.189 0.566
Nd10 0.497 0.811 0.434
Nd11 0.004 0.010 0.770
Nd12 0.997 0.689 0.934
Co1 0.000 0.000 0.000
Co2 0.500 0.500 0.500

Record 3
Here is crystalline CdIrI2N at its relaxed geometry from Alexandria. Energies are from PBE-GGA.

Properties
Calculated volume: 122.74 Å³ per cell
Formation energy (no corrections): 308 meV per atom
Space-group type: P4/mmm

a = 5.733 Å, b = 5.733 Å, c = 3.734 Å
α = 90.00°, β = 90.00°, γ = 90.00°
Fractional coordinates of all 5 atoms:
I1 0.500 0.000 0.000
I2 0.000 0.500 0.000
Ir1 0.000 0.000 0.000
Cd1 0.500 0.500 0.500
N1 0.000 0.000 0.500